Entry 1:
The following is a DFT calculation (PBE) of a relaxed BeFeP2 crystal.

The value obtained for the density of states at the Fermi level is 0.52 states/eV per atom. As for the spin magnetization: 0.52 Bohr magnetons per cell. The calculation puts the volume at 88.4 Å³ per cell. The value obtained for the uncorrected energy is -5.588 eV per atom. The excess energy over the best structure of this formula in the dataset comes out at 348 meV per atom.

The structure in CIF format:
```
data_BeFeP2
_chemical_formula_sum 'Be2 Fe2 P4'
_space_group_name_H-M_alt 'I m m m'
_space_group_IT_number 71
_space_group_name_Hall '-I 2 2'
_cell_length_a 3.5973
_cell_length_b 3.9225
_cell_length_c 6.2627
_cell_angle_alpha 90.00
_cell_angle_beta 90.00
_cell_angle_gamma 90.00
loop_
_atom_site_label
_atom_site_type_symbol
_atom_site_fract_x
_atom_site_fract_y
_atom_site_fract_z
_atom_site_occupancy
Be1 Be 0.0000 0.0000 0.0000 1
Fe1 Fe 0.0000 0.0000 0.5000 1
P1 P 0.0000 0.5000 0.2587 1
```


Entry 2:
The following is a DFT calculation (PBE) of a relaxed CsMgI2Cl crystal.

The value obtained for the density of states at the Fermi level is 0.00 states/eV per atom. As for the spin magnetization: 0.00 Bohr magnetons per cell. The calculation puts the volume at 182.7 Å³ per cell. The value obtained for the uncorrected energy is -2.908 eV per atom. The excess energy over the best structure of this formula in the dataset comes out at 8 meV per atom. The calculation puts the uncorrected formation energy at -7.1 eV/f.u.

The structure in CIF format:
```
data_CsMgI2Cl
_chemical_formula_sum 'Cs1 Mg1 I2 Cl1'
_space_group_name_H-M_alt 'P 4/m m m'
_space_group_IT_number 123
_space_group_name_Hall '-P 4 2'
_cell_length_a 6.0360
_cell_length_b 6.0360
_cell_length_c 5.0140
_cell_angle_alpha 90.00
_cell_angle_beta 90.00
_cell_angle_gamma 90.00
loop_
_atom_site_label
_atom_site_type_symbol
_atom_site_fract_x
_atom_site_fract_y
_atom_site_fract_z
_atom_site_occupancy
Cs1 Cs 0.0000 0.0000 0.0000 1
Mg1 Mg 0.5000 0.5000 0.5000 1
I1 I 0.0000 0.5000 0.5000 1
Cl1 Cl 0.5000 0.5000 0.0000 1
```


What did the second record say?
The following is a DFT calculation (PBE) of a relaxed CsMgI2Cl crystal.

The value obtained for the density of states at the Fermi level is 0.00 states/eV per atom. As for the spin magnetization: 0.00 Bohr magnetons per cell. The calculation puts the volume at 182.7 Å³ per cell. The value obtained for the uncorrected energy is -2.908 eV per atom. The excess energy over the best structure of this formula in the dataset comes out at 8 meV per atom. The calculation puts the uncorrected formation energy at -7.1 eV/f.u.

The structure in CIF format:
```
data_CsMgI2Cl
_chemical_formula_sum 'Cs1 Mg1 I2 Cl1'
_space_group_name_H-M_alt 'P 4/m m m'
_space_group_IT_number 123
_space_group_name_Hall '-P 4 2'
_cell_length_a 6.0360
_cell_length_b 6.0360
_cell_length_c 5.0140
_cell_angle_alpha 90.00
_cell_angle_beta 90.00
_cell_angle_gamma 90.00
loop_
_atom_site_label
_atom_site_type_symbol
_atom_site_fract_x
_atom_site_fract_y
_atom_site_fract_z
_atom_site_occupancy
Cs1 Cs 0.0000 0.0000 0.0000 1
Mg1 Mg 0.5000 0.5000 0.5000 1
I1 I 0.0000 0.5000 0.5000 1
Cl1 Cl 0.5000 0.5000 0.0000 1
```


uncorrected energy of number 2 (CsMgI2Cl)?
-2.908 eV per atom